VASP calculation (PBE) on a geometry-optimized Be2FeCu structure.

## Properties
Fermi-level density of states	1.70	states/eV/f.u.
energy of formation	-0.008	eV per atom
calculated density	5.8	g/cm3

```
data_Be2FeCu
_chemical_formula_sum 'Be6 Fe3 Cu3'
_space_group_name_H-M_alt 'R -3 m'
_space_group_IT_number 166
_space_group_name_Hall '-R 3 2"'
_cell_length_a 2.4494
_cell_length_b 2.4494
_cell_length_c 22.5572
_cell_angle_alpha 90.00
_cell_angle_beta 90.00
_cell_angle_gamma 120.00
loop_
_atom_site_label
_atom_site_type_symbol
_atom_site_fract_x
_atom_site_fract_y
_atom_site_fract_z
Be1 Be 0.0000 0.0000 0.2482
Fe1 Fe 0.0000 0.0000 0.5000
Cu1 Cu 0.0000 0.0000 0.0000
```

***

VASP calculation (PBE) on a geometry-optimized TbThCdPt structure.

## Properties
Fermi-level density of states	3.30	states/eV/f.u.
energy of formation	-0.565	eV per atom
calculated density	11.6	g/cm3

```
data_TbThCdPt
_chemical_formula_sum 'Tb4 Th4 Cd4 Pt4'
_space_group_name_H-M_alt 'F -4 3 m'
_space_group_IT_number 216
_space_group_name_Hall 'F -4 2 3'
_cell_length_a 7.3575
_cell_length_b 7.3575
_cell_length_c 7.3575
_cell_angle_alpha 90.00
_cell_angle_beta 90.00
_cell_angle_gamma 90.00
loop_
_atom_site_label
_atom_site_type_symbol
_atom_site_fract_x
_atom_site_fract_y
_atom_site_fract_z
Tb1 Tb 0.0000 0.0000 0.0000
Th1 Th 0.0000 0.0000 0.5000
Cd1 Cd 0.2500 0.2500 0.7500
Pt1 Pt 0.2500 0.2500 0.2500
```

***

VASP calculation (PBE) on a geometry-optimized Dy4Ho3 structure.

## Properties
Fermi-level density of states	16.07	states/eV/f.u.
energy of formation	0.130	eV per atom
polymorph energy (0 for the lowest one)	111.1	meV/atom
calculated density	8.7	g/cm3

```
data_Dy4Ho3
_chemical_formula_sum 'Dy8 Ho6'
_space_group_name_H-M_alt 'C 1 2/m 1'
_space_group_IT_number 12
_cell_length_a 9.3520
_cell_length_b 5.8605
_cell_length_c 8.9915
_cell_angle_alpha 90.00
_cell_angle_beta 117.14
_cell_angle_gamma 90.00
loop_
_space_group_symop_operation_xyz
'x,y,z'
'-x,-y,-z'
'-x,y,-z'
'x,-y,z'
'x+1/2,y+1/2,z'
'-x+1/2,-y+1/2,-z'
'-x+1/2,y+1/2,-z'
'x+1/2,-y+1/2,z'
loop_
_atom_site_label
_atom_site_type_symbol
_atom_site_fract_x
_atom_site_fract_y
_atom_site_fract_z
Dy1 Dy 0.1420 0.0000 0.4263
Dy2 Dy 0.2141 0.5000 0.1431
Ho1 Ho 0.0000 0.0000 0.0000
Ho2 Ho 0.0707 0.5000 0.7138
```

***

VASP calculation (PBE) on a geometry-optimized Tl2SbPd structure.

## Properties
Fermi-level density of states	2.64	states/eV/f.u.
energy relative to the elements, uncorrected	148	meV per atom
polymorph energy (0 for the lowest one)	297.3	meV/atom
calculated density	10.7	g/cm3

```
data_Tl2SbPd
_chemical_formula_sum 'Tl8 Sb4 Pd4'
_space_group_name_H-M_alt 'F m -3 m'
_space_group_IT_number 225
_space_group_name_Hall '-F 4 2 3'
_cell_length_a 7.3465
_cell_length_b 7.3465
_cell_length_c 7.3465
_cell_angle_alpha 90.00
_cell_angle_beta 90.00
_cell_angle_gamma 90.00
loop_
_atom_site_label
_atom_site_type_symbol
_atom_site_fract_x
_atom_site_fract_y
_atom_site_fract_z
Tl1 Tl 0.2500 0.2500 0.2500
Sb1 Sb 0.0000 0.0000 0.0000
Pd1 Pd 0.0000 0.0000 0.5000
```